Entry 1:
{
  "formula": "Gd2HoSc",
  "functional": "PBE",
  "state": "optimized geometry",
  "magmom_total_mub_per_cell": 14.58,
  "formation_energy_ev_per_atom": 0.0488,
  "dft_energy_ev_per_cell": -38.88,
  "cell": [[-1.731, -0.942, 2.921], [2.735, -1.995, 0.977], [3.804, 7.506, 4.676]],
  "species": ["Sc", "Gd", "Gd", "Ho"],
  "fractional_positions": [[0.500, 0.500, 0.000], [0.000, 0.000, 0.761], [0.000, 0.000, 0.239], [0.500, 0.500, 0.500]]
}

Entry 2:
{
  "formula": "PrErAg4",
  "functional": "PBE",
  "state": "optimized geometry",
  "magmom_total_mub_per_cell": 0.00,
  "formation_energy_ev_per_atom": -0.2701,
  "dft_energy_ev_per_cell": -22.37,
  "cell": [[3.601, -0.931, 0.558], [-0.643, 5.342, 0.352], [1.057, 1.051, 7.557]],
  "species": ["Pr", "Er", "Ag", "Ag", "Ag", "Ag"],
  "fractional_positions": [[0.501, 0.497, 0.998], [0.001, 0.997, 0.498], [0.651, 0.979, 0.180], [0.352, 0.015, 0.816], [0.176, 0.501, 0.651], [0.826, 0.494, 0.345]]
}

Entry 3:
{
  "formula": "GaNi5Au",
  "functional": "PBE",
  "state": "optimized geometry",
  "magmom_total_mub_per_cell": 1.59,
  "formation_energy_ev_per_atom": 0.0207,
  "dft_energy_ev_per_cell": -35.07,
  "cell": [[-0.258, 4.410, 0.066], [-3.972, -1.823, 0.646], [0.837, -0.027, 5.071]],
  "species": ["Ga", "Ni", "Ni", "Ni", "Ni", "Ni", "Au"],
  "fractional_positions": [[0.500, 0.500, 0.500], [0.500, 0.000, 0.259], [0.000, 0.500, 0.259], [0.000, 0.000, 0.500], [0.000, 0.500, 0.741], [0.500, 0.000, 0.741], [0.000, 0.000, 0.000]]
}

Entry 4:
{
  "formula": "Sc2Hg2C",
  "functional": "PBE",
  "state": "optimized geometry",
  "magmom_total_mub_per_cell": 0.00,
  "formation_energy_ev_per_atom": -0.4180,
  "dft_energy_ev_per_cell": -24.58,
  "cell": [[3.339, 0.000, 0.524], [1.628, 2.915, 0.524], [0.141, 0.083, 9.996]],
  "species": ["Sc", "Sc", "Hg", "Hg", "C"],
  "fractional_positions": [[0.374, 0.374, 0.877], [0.626, 0.626, 0.123], [0.876, 0.876, 0.372], [0.124, 0.124, 0.628], [0.000, 0.000, 0.000]]
}

Entry 5:
{
  "formula": "GaRhSCl2",
  "functional": "PBE",
  "state": "optimized geometry",
  "magmom_total_mub_per_cell": 0.00,
  "formation_energy_uncorrected_mev_per_atom": -223,
  "dft_energy_ev_per_cell": -19.31,
  "cell": [[-1.336, 0.917, -4.807], [-3.774, -3.366, 0.407], [-2.728, 3.224, 1.373]],
  "species": ["S", "Rh", "Ga", "Cl", "Cl"],
  "fractional_positions": [[0.000, 0.000, 0.500], [0.000, 0.000, 0.000], [0.500, 0.500, 0.500], [0.000, 0.500, 0.000], [0.500, 0.000, 0.000]]
}

Entry 6:
{
  "formula": "LaSm2ErTl2",
  "functional": "PBE",
  "state": "optimized geometry",
  "magmom_total_mub_per_cell": 0.00,
  "formation_energy_ev_per_atom": -0.2686,
  "dft_energy_ev_per_cell": -50.55,
  "cell": [[5.227, 0.000, 0.000], [0.000, 6.919, 0.000], [0.000, 0.000, 10.217]],
  "species": ["La", "La", "Sm", "Sm", "Sm", "Sm", "Er", "Er", "Tl", "Tl", "Tl", "Tl"],
  "fractional_positions": [[0.000, 0.958, 0.456], [0.000, 0.458, 0.544], [0.500, 0.052, 0.047], [0.000, 0.335, 0.181], [0.500, 0.552, 0.953], [0.000, 0.835, 0.819], [0.500, 0.178, 0.693], [0.500, 0.678, 0.307], [0.000, 0.297, 0.861], [0.500, 0.225, 0.367], [0.000, 0.797, 0.139], [0.500, 0.725, 0.633]]
}

Number 1 is which compound?
Gd2HoSc

Please write out number 1 again, unchanged.
{
  "formula": "Gd2HoSc",
  "functional": "PBE",
  "state": "optimized geometry",
  "magmom_total_mub_per_cell": 14.58,
  "formation_energy_ev_per_atom": 0.0488,
  "dft_energy_ev_per_cell": -38.88,
  "cell": [[-1.731, -0.942, 2.921], [2.735, -1.995, 0.977], [3.804, 7.506, 4.676]],
  "species": ["Sc", "Gd", "Gd", "Ho"],
  "fractional_positions": [[0.500, 0.500, 0.000], [0.000, 0.000, 0.761], [0.000, 0.000, 0.239], [0.500, 0.500, 0.500]]
}